(P)
VASP calculation (PBE-GGA) on a relaxed LiZrTe3Au crystal.

Cell and atoms, written as POSCAR:
```
LiZrTe3Au
1.0
2.006 -7.421 0.000
2.006 7.421 0.000
0.000 0.000 10.908
Li Zr Te Au
2 2 6 2
Direct
0.165 0.835 0.750
0.835 0.165 0.250
0.000 0.000 0.000
0.000 0.000 0.500
0.096 0.904 0.250
0.358 0.642 0.048
0.358 0.642 0.452
0.642 0.358 0.548
0.642 0.358 0.952
0.904 0.096 0.750
0.468 0.532 0.250
0.532 0.468 0.750
```

Output
Calculated volume = 325 Å³/cell



(Q)
VASP calculation (PBE-GGA) on a relaxed LiZrTe3Au crystal.

Cell and atoms, written as POSCAR:
```
LiZrTe3Au
1.0
12.978 0.000 0.000
0.000 4.063 0.000
0.000 0.000 12.211
Li Zr Te Au
4 4 12 4
Direct
0.218 0.250 0.059
0.282 0.750 0.559
0.718 0.250 0.441
0.782 0.750 0.941
0.075 0.250 0.326
0.425 0.750 0.826
0.575 0.250 0.174
0.925 0.750 0.674
0.052 0.750 0.152
0.075 0.250 0.583
0.214 0.750 0.872
0.286 0.250 0.372
0.425 0.750 0.083
0.448 0.250 0.652
0.552 0.750 0.348
0.575 0.250 0.917
0.714 0.750 0.628
0.786 0.250 0.128
0.925 0.750 0.417
0.948 0.250 0.848
0.248 0.250 0.714
0.252 0.750 0.214
0.748 0.250 0.786
0.752 0.750 0.286
```

Output
Calculated volume = 644 Å³/cell



Each structure's energy above the most stable one, in meV/atom: (P) 0; (Q) 28.